DFT (GGA-PBE) results for a geometry-optimized CuH12N2Cl4O2 structure.

Cell lengths 7.7301, 7.7301, 7.9942 Å; angles 90.00, 90.00, 90.00 degrees
With the nearest neighbours (Å) after each atom.
Atoms (fractional coordinates):
Cl1 0.2161 0.2161 0.0000  6 H 2.13-2.37
H1 0.5824 0.9275 0.1755  1 N 1.04
H2 0.9262 0.9262 0.8182  1 O 0.99
H3 0.9176 0.4275 0.3245  1 N 1.04
N1 0.0000 0.5000 0.2500  4 H 1.04
Cl2 0.2928 0.7072 0.0000  1 Cu 2.26
N2 0.0000 0.5000 0.7500  4 H 1.04
H4 0.4262 0.5738 0.6818  1 O 0.99
H5 0.5725 0.0824 0.6755  1 N 1.04
Cl3 0.7928 0.7928 0.5000  1 Cu 2.26
H6 0.4176 0.0725 0.8245  1 N 1.04
O1 0.0000 0.0000 0.2537  2 H 0.99
H7 0.5738 0.4262 0.6818  1 O 0.99
Cl4 0.2839 0.7161 0.5000  6 H 2.13-2.37
H8 0.9275 0.5824 0.1755  1 N 1.04
H9 0.5824 0.9275 0.8245  1 N 1.04
H10 0.9275 0.5824 0.8245  1 N 1.04
H11 0.0725 0.4176 0.8245  1 N 1.04
H12 0.0824 0.5725 0.3245  1 N 1.04
H13 0.5725 0.0824 0.3245  1 N 1.04
Cl5 0.2072 0.2072 0.5000  1 Cu 2.26
H14 0.0738 0.0738 0.8182  1 O 0.99
O2 0.5000 0.5000 0.2463  2 H 0.99
N3 0.5000 0.0000 0.7500  4 H 1.04
H15 0.4262 0.5738 0.3182  1 O 0.99
Cl6 0.7072 0.2928 0.0000  1 Cu 2.26
H16 0.0824 0.5725 0.6755  1 N 1.04
H17 0.9262 0.9262 0.1818  1 O 0.99
H18 0.9176 0.4275 0.6755  1 N 1.04
Cl7 0.7161 0.2839 0.5000  6 H 2.13-2.37
Cu1 0.5000 0.5000 0.0000  2 O 1.97
N4 0.5000 0.0000 0.2500  4 H 1.04
Cu2 0.0000 0.0000 0.5000  2 O 1.97
H19 0.4176 0.0725 0.1755  1 N 1.04
H20 0.4275 0.9176 0.3245  1 N 1.04
H21 0.0725 0.4176 0.1755  1 N 1.04
H22 0.5738 0.4262 0.3182  1 O 0.99
Cl8 0.7839 0.7839 0.0000  6 H 2.13-2.37
O3 0.5000 0.5000 0.7537  2 H 0.99
H23 0.0738 0.0738 0.1818  1 O 0.99
H24 0.4275 0.9176 0.6755  1 N 1.04
O4 0.0000 0.0000 0.7463  2 H 0.99

Properties
**Electronic total energy**: -186.94 eV for the cell shown
**SG**: P4_2/mnm (136)